# 1
{
  "formula": "VCdGe2",
  "functional": "GGA-PBE",
  "state": "relaxed",
  "total_energy_ev_per_atom": -4.35,
  "formation_energy_ev_per_fu": 1.86,
  "space_group": "I-42d",
  "cell": [[-3.676, 3.676, 2.879], [3.676, -3.676, 2.879], [3.676, 3.676, -2.879]],
  "species": ["V", "V", "Cd", "Cd", "Ge", "Ge", "Ge", "Ge"],
  "frac_coords": [[0.000, 0.000, 0.000], [0.750, 0.250, 0.500], [0.250, 0.750, 0.500], [0.500, 0.500, 0.000], [0.102, 0.625, 0.977], [0.375, 0.352, 0.477], [0.648, 0.125, 0.023], [0.875, 0.898, 0.523]]
}


# 2
{
  "formula": "TmLu2Au",
  "functional": "GGA-PBE",
  "state": "relaxed",
  "total_energy_ev_per_atom": -4.47,
  "de_polymorph_mev_per_atom": 139,
  "formation_energy_ev_per_fu": -1.08,
  "space_group": "P4/mmm",
  "cell": [[4.626, 0.000, 0.000], [0.000, 4.626, 0.000], [0.000, 0.000, 4.637]],
  "species": ["Tm", "Lu", "Lu", "Au"],
  "frac_coords": [[0.000, 0.000, 0.000], [0.000, 0.500, 0.500], [0.500, 0.000, 0.500], [0.500, 0.500, 0.000]]
}


# 3
{
  "formula": "Pr6Bi3Ir",
  "functional": "GGA-PBE",
  "state": "relaxed",
  "total_energy_ev_per_atom": -5.57,
  "formation_energy_ev_per_fu": -6.54,
  "space_group": "P2_1/c",
  "cell": [[6.765, 0.000, 0.000], [0.000, 8.811, 0.000], [-6.616, 0.000, 11.403]],
  "species": ["Pr", "Pr", "Pr", "Pr", "Pr", "Pr", "Pr", "Pr", "Pr", "Pr", "Pr", "Pr", "Bi", "Bi", "Bi", "Bi", "Bi", "Bi", "Ir", "Ir"],
  "frac_coords": [[0.060, 0.197, 0.441], [0.060, 0.303, 0.941], [0.294, 0.659, 0.435], [0.294, 0.841, 0.935], [0.372, 0.039, 0.232], [0.372, 0.461, 0.732], [0.628, 0.539, 0.268], [0.628, 0.961, 0.768], [0.706, 0.159, 0.065], [0.706, 0.341, 0.565], [0.940, 0.697, 0.059], [0.940, 0.803, 0.559], [0.156, 0.118, 0.741], [0.156, 0.382, 0.241], [0.500, 0.000, 0.500], [0.500, 0.500, 0.000], [0.844, 0.618, 0.759], [0.844, 0.882, 0.259], [0.000, 0.000, 0.000], [0.000, 0.500, 0.500]]
}


# 4
{
  "formula": "ScFe2Mo",
  "functional": "GGA-PBE",
  "state": "relaxed",
  "total_energy_ev_per_atom": -8.03,
  "formation_energy_ev_per_fu": 1.99,
  "space_group": "I-42d",
  "cell": [[-3.342, 3.342, 2.736], [3.342, -3.342, 2.736], [3.342, 3.342, -2.736]],
  "species": ["Sc", "Sc", "Fe", "Fe", "Fe", "Fe", "Mo", "Mo"],
  "frac_coords": [[0.000, 0.000, 0.000], [0.750, 0.250, 0.500], [0.157, 0.625, 0.032], [0.375, 0.407, 0.532], [0.593, 0.125, 0.968], [0.875, 0.843, 0.468], [0.250, 0.750, 0.500], [0.500, 0.500, 0.000]]
}


# 5
{
  "formula": "Zn3SnGe",
  "functional": "GGA-PBE",
  "state": "relaxed",
  "total_energy_ev_per_atom": -1.73,
  "de_polymorph_mev_per_atom": 332,
  "formation_energy_ev_per_fu": 3.80,
  "space_group": "Pm-3m",
  "cell": [[5.133, 0.000, 0.000], [0.000, 5.133, 0.000], [0.000, 0.000, 5.133]],
  "species": ["Zn", "Zn", "Zn", "Sn", "Ge"],
  "frac_coords": [[0.000, 0.000, 0.500], [0.000, 0.500, 0.000], [0.500, 0.000, 0.000], [0.000, 0.000, 0.000], [0.500, 0.500, 0.500]]
}


# 6
{
  "formula": "Ti2B6W",
  "functional": "GGA-PBE",
  "state": "relaxed",
  "total_energy_ev_per_atom": -8.43,
  "formation_energy_ev_per_fu": -7.09,
  "space_group": "P6/mmm",
  "cell": [[5.282, 0.000, 0.000], [-2.641, 4.574, 0.000], [0.000, 0.000, 3.213]],
  "species": ["Ti", "Ti", "B", "B", "B", "B", "B", "B", "W"],
  "frac_coords": [[0.333, 0.667, 0.000], [0.667, 0.333, 0.000], [0.000, 0.335, 0.500], [0.000, 0.665, 0.500], [0.335, 0.000, 0.500], [0.335, 0.335, 0.500], [0.665, 0.000, 0.500], [0.665, 0.665, 0.500], [0.000, 0.000, 0.000]]
}


# 7
{
  "formula": "Tc2PbAu",
  "functional": "GGA-PBE",
  "state": "relaxed",
  "total_energy_ev_per_atom": -6.22,
  "formation_energy_ev_per_fu": 2.86,
  "space_group": "Immm",
  "cell": [[-1.562, 2.433, 4.723], [1.562, -2.433, 4.723], [1.562, 2.433, -4.723]],
  "species": ["Tc", "Tc", "Pb", "Au"],
  "frac_coords": [[0.246, 0.246, 0.000], [0.754, 0.754, 0.000], [0.000, 0.500, 0.500], [0.500, 0.000, 0.500]]
}


# 8
{
  "formula": "CsAcMgI6",
  "functional": "GGA-PBE",
  "state": "relaxed",
  "total_energy_ev_per_atom": -3.13,
  "raw_formation_energy_ev_per_atom": -1.372,
  "space_group": "P-31c",
  "cell": [[8.127, 0.000, 0.000], [-4.064, 7.039, 0.000], [0.000, 0.000, 17.112]],
  "species": ["Cs", "Cs", "Ac", "Ac", "Mg", "Mg", "I", "I", "I", "I", "I", "I", "I", "I", "I", "I", "I", "I"],
  "frac_coords": [[0.000, 0.000, 0.000], [0.000, 0.000, 0.500], [0.333, 0.667, 0.250], [0.667, 0.333, 0.750], [0.333, 0.667, 0.750], [0.667, 0.333, 0.250], [0.028, 0.386, 0.646], [0.028, 0.643, 0.854], [0.357, 0.386, 0.854], [0.357, 0.972, 0.646], [0.386, 0.028, 0.146], [0.386, 0.357, 0.354], [0.614, 0.643, 0.646], [0.614, 0.972, 0.854], [0.643, 0.028, 0.354], [0.643, 0.614, 0.146], [0.972, 0.357, 0.146], [0.972, 0.614, 0.354]]
}


# 9
{
  "formula": "PuInGaPt",
  "functional": "GGA-PBE",
  "state": "relaxed",
  "total_energy_ev_per_atom": -7.00,
  "formation_energy_ev_per_fu": -1.85,
  "space_group": "F-43m",
  "cell": [[0.000, 3.453, 3.453], [3.453, 0.000, 3.453], [3.453, 3.453, 0.000]],
  "species": ["Pu", "In", "Ga", "Pt"],
  "frac_coords": [[0.000, 0.000, 0.000], [0.500, 0.500, 0.500], [0.250, 0.250, 0.250], [0.750, 0.750, 0.750]]
}


# 10
{
  "formula": "Ga2TcW",
  "functional": "GGA-PBE",
  "state": "relaxed",
  "total_energy_ev_per_atom": -7.09,
  "de_polymorph_mev_per_atom": 172,
  "formation_energy_ev_per_fu": 0.99,
  "space_group": "Fm-3m",
  "cell": [[0.000, 3.100, 3.100], [3.100, 0.000, 3.100], [3.100, 3.100, 0.000]],
  "species": ["Ga", "Ga", "Tc", "W"],
  "frac_coords": [[0.250, 0.250, 0.250], [0.750, 0.750, 0.750], [0.000, 0.000, 0.000], [0.500, 0.500, 0.500]]
}


# 11
{
  "formula": "ZrTl2Pt",
  "functional": "GGA-PBE",
  "state": "relaxed",
  "total_energy_ev_per_atom": -4.85,
  "de_polymorph_mev_per_atom": 261,
  "formation_energy_ev_per_fu": -0.07,
  "space_group": "P4/mmm",
  "cell": [[3.392, 0.000, 0.000], [0.000, 3.392, 0.000], [0.000, 0.000, 7.343]],
  "species": ["Zr", "Tl", "Tl", "Pt"],
  "frac_coords": [[0.000, 0.000, 0.000], [0.500, 0.500, 0.272], [0.500, 0.500, 0.728], [0.000, 0.000, 0.500]]
}


# 12
{
  "formula": "La3Cd7Au4",
  "functional": "GGA-PBE",
  "state": "relaxed",
  "total_energy_ev_per_atom": -2.94,
  "formation_energy_ev_per_fu": -6.85,
  "space_group": "C2/m",
  "cell": [[8.527, -2.348, 0.000], [8.527, 2.348, 0.000], [-5.522, 0.000, 8.465]],
  "species": ["La", "La", "La", "Cd", "Cd", "Cd", "Cd", "Cd", "Cd", "Cd", "Au", "Au", "Au", "Au"],
  "frac_coords": [[0.000, 0.000, 0.000], [0.299, 0.299, 0.295], [0.701, 0.701, 0.705], [0.000, 0.000, 0.500], [0.150, 0.150, 0.428], [0.327, 0.327, 0.984], [0.495, 0.495, 0.691], [0.505, 0.505, 0.309], [0.673, 0.673, 0.016], [0.850, 0.850, 0.572], [0.124, 0.124, 0.834], [0.341, 0.341, 0.725], [0.659, 0.659, 0.275], [0.876, 0.876, 0.166]]
}